Entry 1:
A plane-wave DFT calculation with PBE was carried out for a relaxed structure of Li2MgB12H16O28.

The structure in CIF format:
```
data_Li2MgB12H16O28
_cell_length_a 6.9929
_cell_length_b 9.3147
_cell_length_c 9.5957
_cell_angle_alpha 106.93
_cell_angle_beta 90.86
_cell_angle_gamma 111.94
_symmetry_space_group_name_H-M 'P -1'
_symmetry_Int_Tables_number 2
loop_
_symmetry_equiv_pos_as_xyz
'x,y,z'
'-x,-y,-z'
loop_
_atom_site_label
_atom_site_fract_x
_atom_site_fract_y
_atom_site_fract_z
Li1 0.0009 0.2667 0.2776
Mg1 0.0000 0.0000 0.5000
B1 0.0825 0.3077 0.9854
B2 0.1979 0.3346 0.7468
B3 0.2073 0.1027 0.8414
B4 0.4529 0.1976 0.6523
B5 0.4617 0.5158 0.3262
B6 0.4731 0.9560 0.1925
H1 0.0461 0.5505 0.8891
H2 0.1001 0.0297 0.2285
H3 0.1076 0.7647 0.3432
H4 0.2443 0.6601 0.5209
H5 0.2519 0.6018 0.6569
H6 0.3535 0.0442 0.0628
H7 0.3728 0.0272 0.4409
H8 0.3739 0.2830 0.3108
O1 0.0064 0.6433 0.8919
O2 0.0233 0.2321 0.6247
O3 0.0294 0.9668 0.7327
O4 0.1150 0.3888 0.8820
O5 0.1365 0.1784 0.9713
O6 0.2118 0.6781 0.6221
O7 0.3135 0.0929 0.5134
O8 0.3151 0.2310 0.7664
O9 0.3201 0.3690 0.3373
O10 0.3411 0.0247 0.1598
O11 0.3473 0.4749 0.7138
O12 0.3610 0.0443 0.8815
O13 0.4026 0.6453 0.3579
O14 0.4275 0.8864 0.3037
```

Computed properties:
E_tot (eV/atom): -6.61
DOS(E_F) (states/eV/atom): 0.000
Calculated volume (Å³/atom): 9.3

---

Entry 2:
A plane-wave DFT calculation with PBE was carried out for a relaxed structure of H2RuCl.

The structure in CIF format:
```
data_H2RuCl
_cell_length_a 6.3470
_cell_length_b 6.3470
_cell_length_c 4.7617
_cell_angle_alpha 90.00
_cell_angle_beta 90.00
_cell_angle_gamma 90.00
_symmetry_space_group_name_H-M 'I -4 2 d'
_symmetry_Int_Tables_number 122
_symmetry_space_group_name_Hall 'I -4 2bw'
loop_
_atom_site_label
_atom_site_fract_x
_atom_site_fract_y
_atom_site_fract_z
H1 0.0695 0.2500 0.1250
Ru1 0.0000 0.0000 0.0000
Cl1 0.0000 0.0000 0.5000
```

Computed properties:
E_tot (eV/atom): -4.07
DOS(E_F) (states/eV/atom): 0.652
Calculated volume (Å³/atom): 12.0

---

Entry 3:
A plane-wave DFT calculation with PBE was carried out for a relaxed structure of TbGdCoHg.

The structure in CIF format:
```
data_TbGdCoHg
_cell_length_a 7.1695
_cell_length_b 7.1695
_cell_length_c 7.1695
_cell_angle_alpha 90.00
_cell_angle_beta 90.00
_cell_angle_gamma 90.00
_symmetry_space_group_name_H-M 'F -4 3 m'
_symmetry_Int_Tables_number 216
_symmetry_space_group_name_Hall 'F -4 2 3'
loop_
_atom_site_label
_atom_site_fract_x
_atom_site_fract_y
_atom_site_fract_z
Tb1 0.0000 0.0000 0.0000
Gd1 0.0000 0.0000 0.5000
Co1 0.2500 0.2500 0.2500
Hg1 0.2500 0.2500 0.7500
```

Computed properties:
DFT formation energy (kJ per mole of atoms): -21
DOS(E_F) (states/eV/atom): 0.725
Calculated volume (Å³/atom): 23.0

---

Entry 4:
A plane-wave DFT calculation with PBE was carried out for a relaxed structure of MgFeGe2Se.

The structure in CIF format:
```
data_MgFeGe2Se
_cell_length_a 4.3605
_cell_length_b 4.3605
_cell_length_c 5.6174
_cell_angle_alpha 90.00
_cell_angle_beta 90.00
_cell_angle_gamma 90.00
_symmetry_space_group_name_H-M 'P 4/m m m'
_symmetry_Int_Tables_number 123
_symmetry_space_group_name_Hall '-P 4 2'
loop_
_atom_site_label
_atom_site_fract_x
_atom_site_fract_y
_atom_site_fract_z
Mg1 0.0000 0.0000 0.0000
Fe1 0.5000 0.5000 0.5000
Ge1 0.0000 0.5000 0.5000
Se1 0.5000 0.5000 0.0000
```

Computed properties:
DOS(E_F) (states/eV/atom): 0.497
Calculated volume (Å³/atom): 21.4
Formation energy (no corrections) (kJ per mole of atoms): 12.81

---

Entry 5:
A plane-wave DFT calculation with PBE was carried out for a relaxed structure of CaGdTmCd.

The structure in CIF format:
```
data_CaGdTmCd
_cell_length_a 7.8115
_cell_length_b 7.8115
_cell_length_c 7.8115
_cell_angle_alpha 90.00
_cell_angle_beta 90.00
_cell_angle_gamma 90.00
_symmetry_space_group_name_H-M 'F -4 3 m'
_symmetry_Int_Tables_number 216
_symmetry_space_group_name_Hall 'F -4 2 3'
loop_
_atom_site_label
_atom_site_fract_x
_atom_site_fract_y
_atom_site_fract_z
Ca1 0.0000 0.0000 0.0000
Gd1 0.0000 0.0000 0.5000
Tm1 0.2500 0.2500 0.7500
Cd1 0.2500 0.2500 0.2500
```

Computed properties:
DFT formation energy (kJ per mole of atoms): 0
DOS(E_F) (states/eV/atom): 0.726
Calculated volume (Å³/atom): 29.8

---

Entry 6:
A plane-wave DFT calculation with PBE was carried out for a relaxed structure of Cu6Pd3Au2.

The structure in CIF format:
```
data_Cu6Pd3Au2
_cell_length_a 4.8954
_cell_length_b 5.2262
_cell_length_c 6.5664
_cell_angle_alpha 77.09
_cell_angle_beta 81.77
_cell_angle_gamma 81.48
_symmetry_space_group_name_H-M 'P -1'
_symmetry_Int_Tables_number 2
loop_
_symmetry_equiv_pos_as_xyz
'x,y,z'
'-x,-y,-z'
loop_
_atom_site_label
_atom_site_fract_x
_atom_site_fract_y
_atom_site_fract_z
Cu1 0.0424 0.2558 0.4821
Cu2 0.2121 0.8350 0.7982
Cu3 0.3440 0.4563 0.1590
Pd1 0.1493 0.3285 0.8509
Pd2 0.5000 0.5000 0.5000
Au1 0.3151 0.9494 0.2050
```

Computed properties:
DFT formation energy (kJ per mole of atoms): -2
DOS(E_F) (states/eV/atom): 0.260
Calculated volume (Å³/atom): 14.6

---

Entry 7:
A plane-wave DFT calculation with PBE was carried out for a relaxed structure of Pm5CdRh2.

The structure in CIF format:
```
data_Pm5CdRh2
_cell_length_a 5.6194
_cell_length_b 12.2675
_cell_length_c 13.9838
_cell_angle_alpha 90.00
_cell_angle_beta 90.00
_cell_angle_gamma 90.00
_symmetry_space_group_name_H-M 'C m c m'
_symmetry_Int_Tables_number 63
_symmetry_space_group_name_Hall '-C 2c 2'
loop_
_atom_site_label
_atom_site_fract_x
_atom_site_fract_y
_atom_site_fract_z
Pm1 0.0000 0.0590 0.1230
Pm2 0.0000 0.2307 0.7500
Pm3 0.0000 0.3541 0.0514
Cd1 0.0000 0.4981 0.7500
Rh1 0.0000 0.1580 0.5594
```

Computed properties:
DFT formation energy (kJ per mole of atoms): -37
DOS(E_F) (states/eV/atom): 0.959
Calculated volume (Å³/atom): 30.1

---

Entry 8:
A plane-wave DFT calculation with PBE was carried out for a relaxed structure of Tl2CoBr.

The structure in CIF format:
```
data_Tl2CoBr
_cell_length_a 7.6477
_cell_length_b 7.6477
_cell_length_c 7.6477
_cell_angle_alpha 90.00
_cell_angle_beta 90.00
_cell_angle_gamma 90.00
_symmetry_space_group_name_H-M 'F m -3 m'
_symmetry_Int_Tables_number 225
_symmetry_space_group_name_Hall '-F 4 2 3'
loop_
_atom_site_label
_atom_site_fract_x
_atom_site_fract_y
_atom_site_fract_z
Tl1 0.2500 0.2500 0.2500
Co1 0.0000 0.0000 0.0000
Br1 0.0000 0.0000 0.5000
```

Computed properties:
DOS(E_F) (states/eV/atom): 0.402
Calculated volume (Å³/atom): 28.0
Formation energy (no corrections) (kJ per mole of atoms): 41.77

---

Entry 9:
A plane-wave DFT calculation with PBE was carried out for a relaxed structure of Be3InGa.

The structure in CIF format:
```
data_Be3InGa
_cell_length_a 4.5746
_cell_length_b 4.5746
_cell_length_c 4.5746
_cell_angle_alpha 90.00
_cell_angle_beta 90.00
_cell_angle_gamma 90.00
_symmetry_space_group_name_H-M 'P m -3 m'
_symmetry_Int_Tables_number 221
_symmetry_space_group_name_Hall '-P 4 2 3'
loop_
_atom_site_label
_atom_site_fract_x
_atom_site_fract_y
_atom_site_fract_z
Be1 0.0000 0.0000 0.5000
In1 0.0000 0.0000 0.0000
Ga1 0.5000 0.5000 0.5000
```

Computed properties:
DFT formation energy (kJ per mole of atoms): 111
DOS(E_F) (states/eV/atom): 0.459
Calculated volume (Å³/atom): 19.1

---

Entry 10:
A plane-wave DFT calculation with PBE was carried out for a relaxed structure of LiAcCeO4.

The structure in CIF format:
```
data_LiAcCeO4
_cell_length_a 6.9319
_cell_length_b 7.7773
_cell_length_c 10.6319
_cell_angle_alpha 90.00
_cell_angle_beta 90.00
_cell_angle_gamma 90.00
_symmetry_space_group_name_H-M 'I m m a'
_symmetry_Int_Tables_number 74
_symmetry_space_group_name_Hall '-I 2b 2'
loop_
_atom_site_label
_atom_site_fract_x
_atom_site_fract_y
_atom_site_fract_z
Li1 0.0000 0.2500 0.0265
Ac1 0.0000 0.0000 0.5000
Ce1 0.2500 0.2500 0.7500
O1 0.0000 0.0673 0.7309
O2 0.2366 0.2500 0.5321
```

Computed properties:
DOS(E_F) (states/eV/atom): 0.000
Calculated volume (Å³/atom): 20.5
Formation energy (no corrections) (kJ per mole of atoms): -280.98

---

Entry 11:
A plane-wave DFT calculation with PBE was carried out for a relaxed structure of Cd4ReRu.

The structure in CIF format:
```
data_Cd4ReRu
_cell_length_a 7.6576
_cell_length_b 7.6576
_cell_length_c 7.6576
_cell_angle_alpha 90.00
_cell_angle_beta 90.00
_cell_angle_gamma 90.00
_symmetry_space_group_name_H-M 'F -4 3 m'
_symmetry_Int_Tables_number 216
_symmetry_space_group_name_Hall 'F -4 2 3'
loop_
_atom_site_label
_atom_site_fract_x
_atom_site_fract_y
_atom_site_fract_z
Cd1 0.1250 0.1250 0.1250
Re1 0.2500 0.2500 0.7500
Ru1 0.0000 0.0000 0.5000
```

Computed properties:
DFT formation energy (kJ per mole of atoms): 86
DOS(E_F) (states/eV/atom): 0.555
Calculated volume (Å³/atom): 18.7

---

Entry 12:
A plane-wave DFT calculation with PBE was carried out for a relaxed structure of Na2YBr2.

The structure in CIF format:
```
data_Na2YBr2
_cell_length_a 3.8526
_cell_length_b 3.8526
_cell_length_c 19.6641
_cell_angle_alpha 90.00
_cell_angle_beta 90.00
_cell_angle_gamma 90.00
_symmetry_space_group_name_H-M 'I 4/m m m'
_symmetry_Int_Tables_number 139
_symmetry_space_group_name_Hall '-I 4 2'
loop_
_atom_site_label
_atom_site_fract_x
_atom_site_fract_y
_atom_site_fract_z
Na1 0.0000 0.5000 0.2500
Y1 0.0000 0.0000 0.0000
Br1 0.0000 0.0000 0.4161
```

Computed properties:
DOS(E_F) (states/eV/atom): 0.459
Calculated volume (Å³/atom): 29.2
Formation energy (no corrections) (kJ per mole of atoms): -58.12